A plane-wave DFT calculation with PBEsol was carried out for Zr2HgAu after structural relaxation.

Calculated values
- energy (eV/atom) = -6.07
- magnetic moment (μB/cell) = 0.001
- space group = I4/mmm (139)
- formation energy (meV per atom) = -406

```
Zr2HgAu
1.0
4.3332 0.0000 0.0000
0.0000 4.3332 0.0000
-2.1666 -2.1666 4.1767
Au Hg Zr
1 1 2
Direct
0.0000 0.0000 0.0000 Au
0.5000 0.5000 0.0000 Hg
0.7500 0.2500 0.5000 Zr
0.2500 0.7500 0.5000 Zr
```

=====

A plane-wave DFT calculation with PBEsol was carried out for Lu2CuTc after structural relaxation.

Calculated values
- energy (eV/atom) = -6.50
- magnetic moment (μB/cell) = 0.000
- space group = Fm-3m (225)
- formation energy (meV per atom) = -161

```
Lu2CuTc
1.0
4.6803 0.0000 0.0000
2.3401 4.0532 0.0000
2.3401 1.3511 3.8214
Lu Tc Cu
2 1 1
Direct
0.7500 0.7500 0.7500 Lu
0.2500 0.2500 0.2500 Lu
0.5000 0.5000 0.5000 Tc
0.0000 0.0000 0.0000 Cu
```

=====

A plane-wave DFT calculation with PBEsol was carried out for Lu3AlNi8 after structural relaxation.

Calculated values
- energy (eV/atom) = -6.20
- magnetic moment (μB/cell) = 0.000
- space group = P6_3/mmc (194)
- formation energy (meV per atom) = -534

```
Lu3AlNi8
1.0
4.9168 0.0000 0.0000
-2.4584 4.2581 0.0000
0.0000 0.0000 15.6201
Lu Al Ni
6 2 16
Direct
0.3333 0.6667 0.5418 Lu
0.6667 0.3333 0.4582 Lu
0.6667 0.3333 0.0418 Lu
0.3333 0.6667 0.9582 Lu
0.3333 0.6667 0.7500 Lu
0.6667 0.3333 0.2500 Lu
0.3333 0.6667 0.2500 Al
0.6667 0.3333 0.7500 Al
0.1661 0.8339 0.1252 Ni
0.6677 0.8339 0.1252 Ni
0.1661 0.3323 0.1252 Ni
0.8339 0.1661 0.8748 Ni
0.3323 0.1661 0.8748 Ni
0.8339 0.6677 0.8748 Ni
0.8339 0.1661 0.6252 Ni
0.3323 0.1661 0.6252 Ni
0.8339 0.6677 0.6252 Ni
0.1661 0.8339 0.3748 Ni
0.6677 0.8339 0.3748 Ni
0.1661 0.3323 0.3748 Ni
0.0000 0.0000 0.2500 Ni
0.0000 0.0000 0.7500 Ni
0.0000 0.0000 0.0000 Ni
0.0000 0.0000 0.5000 Ni
```

=====

A plane-wave DFT calculation with PBEsol was carried out for LiAsOs3 after structural relaxation.

Calculated values
- energy (eV/atom) = -7.13
- magnetic moment (μB/cell) = 1.204
- space group = Pm-3m (221)
- formation energy (meV per atom) = 1611

```
LiAsOs3
1.0
4.1039 0.0000 0.0000
0.0000 4.1039 0.0000
0.0000 0.0000 4.1039
As Os Li
1 3 1
Direct
0.5000 0.5000 0.5000 As
0.0000 0.5000 0.0000 Os
0.0000 0.0000 0.5000 Os
0.5000 0.0000 0.0000 Os
0.0000 0.0000 0.0000 Li
```

=====

A plane-wave DFT calculation with PBEsol was carried out for ZnInCl after structural relaxation.

Calculated values
- energy (eV/atom) = -2.29
- magnetic moment (μB/cell) = 0.000
- space group = F-43m (216)
- relative energy among the computed polymorphs (eV per atom) = 0.000

```
ZnInCl
1.0
4.8070 0.0000 0.0000
2.4035 4.1630 0.0000
2.4035 1.3877 3.9249
Zn Cl In
1 1 1
Direct
0.2500 0.2500 0.2500 Zn
0.0000 0.0000 0.0000 Cl
0.5000 0.5000 0.5000 In
```

=====

A plane-wave DFT calculation with PBEsol was carried out for Ca2MgMn after structural relaxation.

Calculated values
- energy (eV/atom) = -3.56
- magnetic moment (μB/cell) = 4.391
- space group = F-43m (216)
- formation energy (meV per atom) = 380

```
Ca2MgMn
1.0
5.2645 0.0000 0.0000
2.6323 4.5592 0.0000
2.6323 1.5197 4.2985
Ca Mg Mn
2 1 1
Direct
0.0000 0.0000 0.0000 Ca
0.7500 0.7500 0.7500 Ca
0.5000 0.5000 0.5000 Mg
0.2500 0.2500 0.2500 Mn
```

=====

A plane-wave DFT calculation with PBEsol was carried out for Ba5Al2In2IrClO13 after structural relaxation.

Calculated values
- energy (eV/atom) = -6.70
- magnetic moment (μB/cell) = 4.098
- space group = P6_3/mmc (194)

```
Ba5Al2In2IrClO13
1.0
5.8539 0.0000 0.0000
-2.9270 5.0696 0.0000
0.0000 0.0000 25.2780
Ba Al In Ir Cl O
10 4 4 2 2 26
Direct
0.0000 0.0000 0.7500 Ba
0.6667 0.3333 0.4604 Ba
0.3333 0.6667 0.9604 Ba
0.3333 0.6667 0.1313 Ba
0.6667 0.3333 0.8687 Ba
0.6667 0.3333 0.6313 Ba
0.3333 0.6667 0.5396 Ba
0.3333 0.6667 0.3687 Ba
0.6667 0.3333 0.0396 Ba
0.0000 0.0000 0.2500 Ba
0.3333 0.6667 0.8182 Al
0.6667 0.3333 0.3182 Al
0.6667 0.3333 0.1818 Al
0.3333 0.6667 0.6818 Al
0.0000 0.0000 0.6119 In
0.0000 0.0000 0.3881 In
0.0000 0.0000 0.1119 In
0.0000 0.0000 0.8881 In
0.0000 0.0000 0.0000 Ir
0.0000 0.0000 0.5000 Ir
0.6667 0.3333 0.7500 Cl
0.3333 0.6667 0.2500 Cl
0.3451 0.1725 0.3445 O
0.3333 0.6667 0.7500 O
0.3118 0.1559 0.9525 O
0.1725 0.8275 0.6555 O
0.8275 0.1725 0.1555 O
0.1559 0.8441 0.0475 O
0.1559 0.8441 0.4525 O
0.8275 0.6549 0.1555 O
0.6882 0.8441 0.0475 O
0.8441 0.1559 0.5475 O
0.8441 0.6882 0.9525 O
0.1725 0.8275 0.8445 O
0.1559 0.3118 0.0475 O
0.6667 0.3333 0.2500 O
0.6549 0.8275 0.6555 O
0.6549 0.8275 0.8445 O
0.3451 0.1725 0.1555 O
0.1559 0.3118 0.4525 O
0.8441 0.6882 0.5475 O
0.8441 0.1559 0.9525 O
0.1725 0.3451 0.8445 O
0.8275 0.1725 0.3445 O
0.8275 0.6549 0.3445 O
0.3118 0.1559 0.5475 O
0.6882 0.8441 0.4525 O
0.1725 0.3451 0.6555 O
```

=====

A plane-wave DFT calculation with PBEsol was carried out for LiCaH3 after structural relaxation.

Calculated values
- energy (eV/atom) = -3.31
- magnetic moment (μB/cell) = 0.000
- space group = R-3c (167)

```
LiCaH3
1.0
-4.5706 2.0646 -0.7041
-3.1934 0.3226 3.9176
-0.9932 4.5421 2.0080
H Ca Li
6 2 2
Direct
0.2941 0.2059 0.7500 H
0.7500 0.2941 0.2059 H
0.2059 0.7500 0.2941 H
0.7059 0.7941 0.2500 H
0.2500 0.7059 0.7941 H
0.7941 0.2500 0.7059 H
0.7500 0.7500 0.7500 Ca
0.2500 0.2500 0.2500 Ca
0.0000 0.0000 0.0000 Li
0.5000 0.5000 0.5000 Li
```

=====

A plane-wave DFT calculation with PBEsol was carried out for SbIr2F after structural relaxation.

Calculated values
- energy (eV/atom) = -6.54
- magnetic moment (μB/cell) = 0.000
- space group = Fm-3m (225)

```
SbIr2F
1.0
4.3388 0.0000 0.0000
2.1694 3.7575 0.0000
2.1694 1.2525 3.5426
Sb Ir F
1 2 1
Direct
0.5000 0.5000 0.5000 Sb
0.2500 0.2500 0.2500 Ir
0.7500 0.7500 0.7500 Ir
0.0000 0.0000 0.0000 F
```

=====

A plane-wave DFT calculation with PBEsol was carried out for HoZnIn after structural relaxation.

Calculated values
- energy (eV/atom) = -3.63
- magnetic moment (μB/cell) = 0.000
- space group = P6_3/mmc (194)
- formation energy (meV per atom) = -461

```
HoZnIn
1.0
-0.0846 -4.2338 -1.7541
4.0029 2.1472 0.6129
0.4538 -2.6994 6.4934
Zn Ho In
2 2 2
Direct
0.3333 0.6667 0.7500 Zn
0.6667 0.3333 0.2500 Zn
0.0000 0.0000 0.0000 Ho
0.0000 0.0000 0.5000 Ho
0.3333 0.6667 0.2500 In
0.6667 0.3333 0.7500 In
```

=====

A plane-wave DFT calculation with PBEsol was carried out for SbTeW2 after structural relaxation.

Calculated values
- energy (eV/atom) = -8.54
- magnetic moment (μB/cell) = 0.000
- space group = R3m (160)
- relative energy among the computed polymorphs (eV per atom) = 0.062

```
SbTeW2
1.0
3.1805 0.0000 0.0000
1.5902 2.7544 0.0000
1.5902 0.9181 9.9475
Sb Te W
1 1 2
Direct
0.4796 0.4796 0.5611 Sb
0.2721 0.2721 0.1838 Te
0.0086 0.0086 0.9741 W
0.7397 0.7397 0.7810 W
```

=====

A plane-wave DFT calculation with PBEsol was carried out for In2Hg after structural relaxation.

Calculated values
- energy (eV/atom) = -2.18
- magnetic moment (μB/cell) = 0.000
- space group = Immm (71)
- formation energy (meV per atom) = -7
- relative energy among the computed polymorphs (eV per atom) = 0.008

```
In2Hg
1.0
-1.8084 -1.5206 -2.5106
0.9701 -3.4340 1.3811
-4.1211 2.5035 3.8192
Hg In
1 2
Direct
0.0000 0.0000 0.0000 Hg
0.3393 0.3393 0.6786 In
0.6607 0.6607 0.3214 In
```

=====

A plane-wave DFT calculation with PBEsol was carried out for SrZn2Ru after structural relaxation.

Calculated values
- energy (eV/atom) = -3.57
- magnetic moment (μB/cell) = 0.000
- space group = Immm (71)
- formation energy (meV per atom) = 228

```
SrZn2Ru
1.0
-2.1611 -2.5421 0.9177
2.4966 -0.6342 4.1224
-2.8185 4.5878 -0.4533
Ru Sr Zn
1 1 2
Direct
0.5000 0.0000 0.0000 Ru
0.0000 0.5000 0.0000 Sr
0.7906 0.7906 0.5813 Zn
0.2094 0.2094 0.4187 Zn
```

=====

A plane-wave DFT calculation with PBEsol was carried out for BaCaN3 after structural relaxation.

Calculated values
- energy (eV/atom) = -4.65
- magnetic moment (μB/cell) = 0.129
- space group = Pm-3m (221)

```
BaCaN3
1.0
4.5401 0.0000 0.0000
0.0000 4.5401 0.0000
0.0000 0.0000 4.5401
Ca Ba N
1 1 3
Direct
0.5000 0.5000 0.5000 Ca
0.0000 0.0000 0.0000 Ba
0.0000 0.5000 0.0000 N
0.0000 0.0000 0.5000 N
0.5000 0.0000 0.0000 N
```

=====

A plane-wave DFT calculation with PBEsol was carried out for Ta2MoW after structural relaxation.

Calculated values
- energy (eV/atom) = -12.75
- magnetic moment (μB/cell) = 0.000
- space group = C2/m (12)
- formation energy (meV per atom) = -81

```
Ta2MoW
1.0
-0.8934 -1.0622 2.4123
4.7604 -2.2603 -0.3401
-0.0395 5.1544 1.1471
Mo W Ta
1 1 2
Direct
0.5000 0.5000 0.5000 Mo
0.5000 0.0000 0.0000 W
0.0000 0.5000 0.0000 Ta
0.0000 0.0000 0.5000 Ta
```

=====

A plane-wave DFT calculation with PBEsol was carried out for KTa3Nb after structural relaxation.

Calculated values
- energy (eV/atom) = -8.10
- magnetic moment (μB/cell) = 0.000
- space group = Pm-3m (221)
- formation energy (meV per atom) = 1826
- relative energy among the computed polymorphs (eV per atom) = 0.000

```
KTa3Nb
1.0
-4.7245 1.5788 0.1554
-0.9215 -3.1284 3.7685
1.2914 3.5438 3.2576
Nb K Ta
1 1 3
Direct
0.0000 0.0000 0.0000 Nb
0.5000 0.5000 0.5000 K
0.0000 0.5000 0.0000 Ta
0.0000 0.0000 0.5000 Ta
0.5000 0.0000 0.0000 Ta
```

=====

A plane-wave DFT calculation with PBEsol was carried out for YTeOs2 after structural relaxation.

Calculated values
- energy (eV/atom) = -8.37
- magnetic moment (μB/cell) = 0.000
- space group = I4/mmm (139)

```
YTeOs2
1.0
4.3558 0.0000 0.0000
-2.1779 4.3405 -0.0078
0.0000 2.1923 3.7639
Os Te Y
2 1 1
Direct
0.2500 0.5000 0.2500 Os
0.7500 0.5000 0.7500 Os
0.5000 0.0000 0.5000 Te
0.0000 0.0000 0.0000 Y
```

=====

A plane-wave DFT calculation with PBEsol was carried out for ZnCo2Cl after structural relaxation.

Calculated values
- energy (eV/atom) = -4.57
- magnetic moment (μB/cell) = 3.173
- space group = Pmmm (47)
- relative energy among the computed polymorphs (eV per atom) = 0.106

```
ZnCo2Cl
1.0
2.9714 0.0000 0.0000
0.0000 3.2211 0.0203
0.0000 -0.0430 5.9603
Zn Co Cl
1 2 1
Direct
0.5000 0.0000 0.5000 Zn
0.0000 0.5004 0.6924 Co
0.0000 0.4996 0.3076 Co
0.5000 0.5000 0.0000 Cl
```

=====

A plane-wave DFT calculation with PBEsol was carried out for ReSb2TePd after structural relaxation.

Calculated values
- energy (eV/atom) = -5.03
- magnetic moment (μB/cell) = 2.815
- space group = P4/mmm (123)

```
ReSb2TePd
1.0
5.0125 0.0000 0.0000
0.0000 5.0125 0.0000
0.0000 0.0000 5.1720
Re Te Pd Sb
1 1 1 2
Direct
0.5000 0.5000 0.5000 Re
0.0000 0.0000 0.5000 Te
0.0000 0.0000 0.0000 Pd
0.0000 0.5000 0.0000 Sb
0.5000 0.0000 0.0000 Sb
```

=====

A plane-wave DFT calculation with PBEsol was carried out for BaSr2P after structural relaxation.

Calculated values
- energy (eV/atom) = -3.49
- magnetic moment (μB/cell) = 0.840
- space group = R-3m (166)
- formation energy (meV per atom) = -583

```
BaSr2P
1.0
4.4020 0.0000 0.0000
2.2010 3.8122 0.0000
2.2010 1.2707 10.9440
Sr Ba P
2 1 1
Direct
0.2142 0.2142 0.3574 Sr
0.7858 0.7858 0.6426 Sr
0.0000 0.0000 0.0000 Ba
0.5000 0.5000 0.5000 P
```

=====

A plane-wave DFT calculation with PBEsol was carried out for K5Na3TaNb7O24 after structural relaxation.

Calculated values
- energy (eV/atom) = -8.07
- magnetic moment (μB/cell) = 0.000
- space group = Cm (8)

```
K5Na3TaNb7O24
1.0
-3.2574 -4.6909 5.5660
4.9380 -5.9791 -2.1325
5.4418 2.5456 5.3468
K Na Ta Nb O
5 3 1 7 24
Direct
0.2522 0.7525 0.7525 K
0.2517 0.2535 0.7530 K
0.2517 0.7530 0.2535 K
0.2511 0.2529 0.2529 K
0.7515 0.2529 0.2529 K
0.7560 0.7682 0.7682 Na
0.7580 0.2697 0.7681 Na
0.7580 0.7681 0.2697 Na
0.0006 0.0058 0.0058 Ta
0.5034 0.0081 0.0081 Nb
0.0030 0.5078 0.0084 Nb
0.5065 0.5096 0.0077 Nb
0.0030 0.0084 0.5078 Nb
0.5065 0.0077 0.5096 Nb
0.0026 0.5093 0.5093 Nb
0.5066 0.5086 0.5086 Nb
0.9922 0.9935 0.7473 O
0.5028 0.9926 0.7459 O
0.9927 0.4952 0.7458 O
0.5004 0.4941 0.7452 O
0.9951 0.9935 0.2444 O
0.5002 0.9933 0.2451 O
0.9950 0.4977 0.2451 O
0.4990 0.4960 0.2445 O
0.9922 0.7473 0.9935 O
0.5028 0.7459 0.9926 O
0.9951 0.2444 0.9935 O
0.5002 0.2451 0.9933 O
0.9927 0.7458 0.4952 O
0.5004 0.7452 0.4941 O
0.9950 0.2451 0.4977 O
0.4990 0.2445 0.4960 O
0.2467 0.9939 0.9939 O
0.7494 0.9929 0.9929 O
0.2474 0.4965 0.9934 O
0.7484 0.4910 0.9888 O
0.2474 0.9934 0.4965 O
0.7484 0.9888 0.4910 O
0.2470 0.4952 0.4952 O
0.7481 0.4930 0.4930 O
```

=====

A plane-wave DFT calculation with PBEsol was carried out for RbCd3Rh after structural relaxation.

Calculated values
- energy (eV/atom) = -2.58
- magnetic moment (μB/cell) = 0.000
- space group = Imma (74)
- formation energy (meV per atom) = -28
- relative energy among the computed polymorphs (eV per atom) = 0.000

```
RbCd3Rh
1.0
-3.1335 1.2752 6.3858
-1.4534 -5.5547 4.4851
3.8710 -0.7133 6.1310
Rh Rb Cd
2 2 6
Direct
0.0000 0.5000 0.5000 Rh
0.5000 0.0000 0.0000 Rh
0.7500 0.3350 0.1650 Rb
0.2500 0.6650 0.8350 Rb
0.7877 0.2123 0.7123 Cd
0.2877 0.2123 0.7123 Cd
0.7123 0.7877 0.2877 Cd
0.2123 0.7877 0.2877 Cd
0.7500 0.8200 0.6800 Cd
0.2500 0.1800 0.3200 Cd
```

=====

A plane-wave DFT calculation with PBEsol was carried out for YP after structural relaxation.

Calculated values
- energy (eV/atom) = -7.97
- magnetic moment (μB/cell) = 0.000
- space group = Fm-3m (225)
- formation energy (meV per atom) = -1664

```
YP
1.0
-3.2454 -2.0706 0.9342
-0.5958 -1.1693 3.7377
-2.8624 1.6746 2.1668
Y P
1 1
Direct
0.5000 0.5000 0.5000 Y
0.0000 0.0000 0.0000 P
```